[1]
K4Ni7As6O24: optimized geometry, GGA-PBEsol.

a b c (Å): 6.7228 9.0316 9.0316
angles (deg): 105.80 98.69 98.69
Last column: magnetic moment on the atom in μB.
Atoms (fractional coordinates):
Ni1 0.9958 0.6211 0.3766  1.55
O1 0.8141 0.1257 0.9210  0.12
O2 0.1408 0.9992 0.4095  0.11
O3 0.2214 0.6943 0.2709  0.12
O4 0.5259 0.3401 0.9879  0.06
Ni2 0.8296 0.9739 0.3643  1.56
As1 0.9627 0.6945 0.6945  0.01
O5 0.7807 0.2940 0.7288  0.13
As2 0.2767 0.2855 0.8935  0.02
O6 0.1168 0.5909 0.7826  0.12
O7 0.7807 0.7288 0.2940  0.13
Ni3 0.9958 0.3766 0.6211  1.55
O8 0.8682 0.4050 0.2103  0.11
As3 0.2767 0.8935 0.2855  0.02
As4 0.7298 0.7202 0.0938  0.02
O9 0.7957 0.5445 0.5445  0.12
O10 0.1980 0.8765 0.0867  0.12
O11 0.8663 0.9942 0.5932  0.11
As5 0.7298 0.0938 0.7202  0.02
Ni4 0.1729 0.0177 0.6383  1.56
O12 0.8141 0.9210 0.1257  0.12
O13 0.4788 0.6684 0.0047  0.06
K1 0.4778 0.2715 0.5014  0.00
O14 0.8682 0.2103 0.4050  0.11
O15 0.1613 0.1953 0.1953  0.06
K2 0.4778 0.5014 0.2715  0.00
O16 0.5259 0.9879 0.3401  0.06
O17 0.8528 0.8179 0.8179  0.06
K3 0.5247 0.0712 0.0712  0.00
Ni5 0.0091 0.0042 0.0042  1.55
O18 0.1765 0.4572 0.4572  0.12
Ni6 0.1729 0.6383 0.0177  1.56
O19 0.2214 0.2709 0.6943  0.12
O20 0.4788 0.0047 0.6684  0.06
O21 0.1408 0.4095 0.9992  0.11
O22 0.1980 0.0867 0.8765  0.12
O23 0.1168 0.7826 0.5909  0.12
K4 0.4612 0.6981 0.6981  0.00
O24 0.8663 0.5932 0.9942  0.11
As6 0.0188 0.3037 0.3037  0.01
Ni7 0.8296 0.3643 0.9739  1.56

Uncorrected formation energy ... -1.153 eV/atom
Raw total energy ... -6.13 eV/atom

---

[2]
KReNiAs2: optimized geometry, GGA-PBEsol.

a b c (Å): 4.1063 5.0757 5.0757
angles (deg): 90.00 90.00 90.00
Last column: magnetic moment on the atom in μB.
Atoms (fractional coordinates):
K1 0.0000 0.0000 0.0000  0.02
Ni1 0.5000 0.0000 0.0000  -0.12
Re1 0.5000 0.5000 0.5000  -2.71
As1 0.0000 0.5000 0.0000  0.11
As2 0.0000 0.0000 0.5000  0.11

Density of states at the Fermi level ... 3.9 states/eV/f.u.
Raw total energy ... -3.59 eV/atom
E_form ... 2582 meV/atom

---

[3]
K5As3O10: optimized geometry, GGA-PBEsol.

a b c (Å): 7.9954 7.9887 19.2521
angles (deg): 90.00 90.00 90.00
Atoms (fractional coordinates):
O1 0.5511 0.9404 0.6065
O2 0.7247 0.2256 0.8933
K1 0.7490 0.9967 0.0007
O3 0.1653 0.7195 0.8659
K2 0.1989 0.9922 0.7803
As1 0.0312 0.2237 0.6022
K3 0.9908 0.2405 0.3726
O4 0.3347 0.2805 0.3659
O5 0.9489 0.0596 0.1065
O6 0.2753 0.7256 0.6067
O7 0.4963 0.2359 0.2024
O8 0.5455 0.2868 0.7678
K4 0.5092 0.7595 0.8726
As2 0.0178 0.2350 0.1452
O9 0.1604 0.3703 0.6348
O10 0.6653 0.7805 0.1341
As3 0.9212 0.3186 0.8755
O11 0.8572 0.5328 0.8682
K5 0.2490 0.5033 0.9993
O12 0.3396 0.6297 0.1348
As4 0.5788 0.6814 0.3755
K6 0.2753 0.9742 0.4842
K7 0.0092 0.7405 0.1274
O13 0.0340 0.2159 0.5141
K8 0.7510 0.0033 0.5007
O14 0.0511 0.5596 0.3935
O15 0.4545 0.7868 0.7322
K9 0.7247 0.4742 0.0158
As5 0.9688 0.7237 0.8978
O16 0.9660 0.7159 0.9859
As6 0.4212 0.1814 0.1245
O17 0.9198 0.4148 0.1238
K10 0.8011 0.4922 0.7197
O18 0.4198 0.0852 0.8762
K11 0.7753 0.5258 0.5158
O19 0.0277 0.2834 0.9485
O20 0.4489 0.4404 0.8935
O21 0.3572 0.9672 0.1318
O22 0.8347 0.2195 0.6341
O23 0.8396 0.8703 0.8652
O24 0.9545 0.7132 0.2678
K12 0.4908 0.2595 0.6274
K13 0.2549 0.4886 0.2580
O25 0.0802 0.9148 0.3762
As7 0.4688 0.7763 0.1022
O26 0.6428 0.4672 0.3682
K14 0.7549 0.0114 0.7420
As8 0.5312 0.2763 0.3978
K15 0.6989 0.5078 0.2197
O27 0.9723 0.7834 0.5515
O28 0.5277 0.2166 0.0515
K16 0.2247 0.0258 0.9842
K17 0.7451 0.9886 0.2420
K18 0.3011 0.0078 0.2803
O29 0.4723 0.7166 0.4485
K19 0.2451 0.5114 0.7580
O30 0.4660 0.7841 0.0141
O31 0.6604 0.1297 0.3652
O32 0.0037 0.7641 0.7024
O33 0.9963 0.2641 0.7976
O34 0.5037 0.7359 0.2976
O35 0.0455 0.2132 0.2322
K20 0.2510 0.4967 0.4993
O36 0.1428 0.0328 0.6318
O37 0.7753 0.7744 0.3933
As9 0.9822 0.7350 0.3548
As10 0.0788 0.8186 0.6245
As11 0.4822 0.7650 0.6452
As12 0.5178 0.2650 0.8548
O38 0.5802 0.5852 0.6238
O39 0.2247 0.2744 0.1067
O40 0.5340 0.2841 0.4859

Density of states at the Fermi level ... 0.0 states/eV/f.u.
Uncorrected formation energy ... -1.625 eV/atom
Raw total energy ... -5.71 eV/atom